[1]
VASP calculation (GGA+U) on an optimized crystal structure of VCrTeO6.

Lattice parameters (Å, degrees): 5.202 5.202 8.629 90.00 90.00 120.00
Positions (direct):
V (0.333, 0.667, 0.250)
V (0.667, 0.333, 0.750)
Cr (0.000, 0.000, 0.000)
Cr (0.000, 0.000, 0.500)
Te (0.667, 0.333, 0.250)
Te (0.333, 0.667, 0.750)
O (0.648, 0.680, 0.128)
O (0.032, 0.352, 0.128)
O (0.352, 0.032, 0.628)
O (0.968, 0.648, 0.872)
O (0.320, 0.352, 0.372)
O (0.032, 0.680, 0.372)
O (0.680, 0.032, 0.872)
O (0.648, 0.968, 0.372)
O (0.968, 0.320, 0.628)
O (0.320, 0.968, 0.128)
O (0.680, 0.648, 0.628)
O (0.352, 0.320, 0.872)

Output
* uncorrected energy: -6.750 eV per atom
* density: 5364 kg/m³

[2]
VASP calculation (GGA+U) on an optimized crystal structure of YbCrTeO6.

Lattice parameters (Å, degrees): 5.183 5.183 9.899 90.00 90.00 120.00
Positions (direct):
Yb (0.000, 0.000, 0.000)
Yb (0.000, 0.000, 0.500)
Cr (0.667, 0.333, 0.249)
Cr (0.333, 0.667, 0.751)
Te (0.333, 0.667, 0.250)
Te (0.667, 0.333, 0.750)
O (0.360, 0.993, 0.140)
O (0.007, 0.367, 0.140)
O (0.633, 0.640, 0.140)
O (0.360, 0.367, 0.359)
O (0.633, 0.993, 0.359)
O (0.007, 0.640, 0.359)
O (0.993, 0.360, 0.641)
O (0.367, 0.007, 0.641)
O (0.640, 0.633, 0.641)
O (0.367, 0.360, 0.860)
O (0.993, 0.633, 0.860)
O (0.640, 0.007, 0.860)

Output
* polymorph energy (0 for the lowest one): 0.0 meV/atom
* density: 6470 kg/m³

[3]
VASP calculation (GGA+U) on an optimized crystal structure of YbCrTeO6.

Lattice parameters (Å, degrees): 5.400 5.400 8.597 90.00 90.00 120.00
Positions (direct):
Yb (0.333, 0.667, 0.750)
Yb (0.667, 0.333, 0.250)
Cr (0.000, 0.000, 0.000)
Cr (0.000, 0.000, 0.500)
Te (0.667, 0.333, 0.750)
Te (0.333, 0.667, 0.250)
O (0.956, 0.308, 0.877)
O (0.044, 0.692, 0.123)
O (0.352, 0.044, 0.877)
O (0.352, 0.308, 0.623)
O (0.648, 0.956, 0.123)
O (0.648, 0.692, 0.377)
O (0.692, 0.648, 0.877)
O (0.692, 0.044, 0.623)
O (0.308, 0.352, 0.123)
O (0.308, 0.956, 0.377)
O (0.956, 0.648, 0.623)
O (0.044, 0.352, 0.377)

Output
* polymorph energy (0 for the lowest one): 240.1 meV/atom
* density: 6862 kg/m³

[4]
VASP calculation (GGA+U) on an optimized crystal structure of ZnCrTe2O8.

Lattice parameters (Å, degrees): 5.791 5.791 5.791 109.78 109.78 108.85
Positions (direct):
Zn (0.250, 0.750, 0.500)
Cr (0.000, 0.000, 0.000)
Te (0.750, 0.250, 0.500)
Te (0.500, 0.500, 0.000)
O (0.377, 0.192, 0.184)
O (0.460, 0.759, 0.299)
O (0.460, 0.162, 0.701)
O (0.008, 0.192, 0.816)
O (0.838, 0.540, 0.299)
O (0.808, 0.992, 0.184)
O (0.808, 0.623, 0.816)
O (0.241, 0.540, 0.701)

Output
* uncorrected energy: -5.495 eV per atom
* density: 5560 kg/m³

[5]
VASP calculation (GGA+U) on an optimized crystal structure of Th3Cr5O12.

Lattice parameters (Å, degrees): 11.159 11.159 11.159 109.47 109.47 109.47
Positions (direct):
Th (0.750, 0.375, 0.125)
Th (0.875, 0.750, 0.125)
Th (0.375, 0.750, 0.625)
Th (0.250, 0.125, 0.375)
Th (0.875, 0.125, 0.250)
Th (0.375, 0.625, 0.250)
Th (0.625, 0.375, 0.750)
Th (0.125, 0.875, 0.750)
Th (0.750, 0.875, 0.625)
Th (0.625, 0.250, 0.375)
Th (0.125, 0.250, 0.875)
Th (0.250, 0.625, 0.875)
Cr (0.125, 0.375, 0.250)
Cr (0.000, 0.500, 0.000)
Cr (0.000, 0.000, 0.000)
Cr (0.375, 0.250, 0.125)
Cr (0.500, 0.000, 0.500)
Cr (0.500, 0.500, 0.000)
Cr (0.125, 0.750, 0.375)
Cr (0.750, 0.125, 0.875)
Cr (0.750, 0.625, 0.375)
Cr (0.375, 0.125, 0.750)
Cr (0.625, 0.875, 0.250)
Cr (0.500, 0.500, 0.500)
Cr (0.500, 0.000, 0.000)
Cr (0.000, 0.000, 0.500)
Cr (0.250, 0.375, 0.625)
Cr (0.250, 0.875, 0.125)
Cr (0.000, 0.500, 0.500)
Cr (0.875, 0.250, 0.625)
Cr (0.625, 0.750, 0.875)
Cr (0.875, 0.625, 0.750)
O (0.707, 0.129, 0.037)
O (0.330, 0.537, 0.408)
O (0.963, 0.371, 0.293)
O (0.537, 0.207, 0.129)
O (0.578, 0.707, 0.670)
O (0.963, 0.592, 0.170)
O (0.330, 0.793, 0.422)
O (0.092, 0.922, 0.129)
O (0.592, 0.963, 0.670)
O (0.707, 0.578, 0.170)
O (0.793, 0.463, 0.371)
O (0.830, 0.908, 0.037)
O (0.129, 0.707, 0.537)
O (0.371, 0.408, 0.078)
O (0.078, 0.908, 0.371)
O (0.422, 0.129, 0.592)
O (0.078, 0.170, 0.207)
O (0.463, 0.670, 0.092)
O (0.830, 0.922, 0.293)
O (0.129, 0.422, 0.092)
O (0.371, 0.963, 0.793)
O (0.592, 0.629, 0.422)
O (0.908, 0.830, 0.537)
O (0.793, 0.330, 0.922)
O (0.408, 0.371, 0.578)
O (0.092, 0.170, 0.463)
O (0.207, 0.670, 0.078)
O (0.170, 0.078, 0.707)
O (0.629, 0.037, 0.207)
O (0.871, 0.578, 0.908)
O (0.537, 0.330, 0.908)
O (0.578, 0.871, 0.408)
O (0.922, 0.830, 0.793)
O (0.922, 0.092, 0.629)
O (0.871, 0.293, 0.463)
O (0.170, 0.092, 0.963)
O (0.629, 0.592, 0.922)
O (0.408, 0.037, 0.330)
O (0.293, 0.422, 0.830)
O (0.207, 0.537, 0.629)
O (0.908, 0.078, 0.871)
O (0.670, 0.207, 0.578)
O (0.463, 0.793, 0.871)
O (0.037, 0.408, 0.830)
O (0.422, 0.293, 0.330)
O (0.037, 0.629, 0.707)
O (0.670, 0.463, 0.592)
O (0.293, 0.871, 0.963)

Output
* uncorrected energy: -8.468 eV per atom
* density: 7128 kg/m³

[6]
VASP calculation (GGA+U) on an optimized crystal structure of ThCrO7.

Lattice parameters (Å, degrees): 7.009 7.501 7.640 60.88 90.00 90.00
Positions (direct):
Th (0.250, 0.864, 0.274)
Th (0.750, 0.136, 0.726)
Cr (0.250, 0.287, 0.429)
Cr (0.750, 0.713, 0.571)
O (0.500, 0.910, 0.999)
O (0.000, 0.090, 0.001)
O (0.500, 0.090, 0.001)
O (0.000, 0.910, 0.999)
O (0.442, 0.213, 0.577)
O (0.942, 0.787, 0.423)
O (0.558, 0.787, 0.423)
O (0.058, 0.213, 0.577)
O (0.250, 0.177, 0.285)
O (0.750, 0.823, 0.715)
O (0.250, 0.539, 0.286)
O (0.750, 0.461, 0.714)
O (0.250, 0.705, 0.598)
O (0.750, 0.295, 0.402)

Output
* uncorrected energy: -7.031 eV per atom
* density: 3749 kg/m³

[7]
VASP calculation (GGA+U) on an optimized crystal structure of ThTl2CrO6.

Lattice parameters (Å, degrees): 5.926 5.926 5.926 60.00 60.00 60.00
Positions (direct):
Th (0.000, 0.000, 0.000)
Tl (0.750, 0.750, 0.750)
Tl (0.250, 0.250, 0.250)
Cr (0.500, 0.500, 0.500)
O (0.274, 0.726, 0.726)
O (0.274, 0.726, 0.274)
O (0.274, 0.274, 0.726)
O (0.726, 0.726, 0.274)
O (0.726, 0.274, 0.274)
O (0.726, 0.274, 0.726)

Output
* uncorrected energy: -6.593 eV per atom
* density: 8901 kg/m³

[8]
VASP calculation (GGA+U) on an optimized crystal structure of ThTlCr2O8.

Lattice parameters (Å, degrees): 5.924 5.924 7.909 90.00 90.00 120.00
Positions (direct):
Th (0.000, 0.000, 0.000)
Tl (0.000, 0.000, 0.500)
Cr (0.667, 0.333, 0.254)
Cr (0.333, 0.667, 0.746)
O (0.824, 0.176, 0.180)
O (0.824, 0.648, 0.180)
O (0.352, 0.176, 0.180)
O (0.648, 0.824, 0.820)
O (0.333, 0.667, 0.541)
O (0.667, 0.333, 0.459)
O (0.176, 0.824, 0.820)
O (0.176, 0.352, 0.820)

Output
* uncorrected energy: -7.175 eV per atom
* density: 4617 kg/m³

[9]
VASP calculation (GGA+U) on an optimized crystal structure of ThVCr2O8.

Lattice parameters (Å, degrees): 4.698 4.695 6.492 90.00 90.00 88.39
Positions (direct):
Th (0.000, 0.000, 0.500)
V (0.000, 0.000, 0.000)
Cr (0.500, 0.500, 0.768)
Cr (0.500, 0.500, 0.232)
O (0.196, 0.802, 0.207)
O (0.697, 0.699, 0.000)
O (0.804, 0.198, 0.207)
O (0.804, 0.198, 0.793)
O (0.303, 0.301, 0.000)
O (0.196, 0.802, 0.793)
O (0.671, 0.673, 0.500)
O (0.329, 0.327, 0.500)

Output
* uncorrected energy: -7.941 eV per atom
* density: 5975 kg/m³

[10]
VASP calculation (GGA+U) on an optimized crystal structure of TiCrO4.

Lattice parameters (Å, degrees): 4.788 4.788 8.632 90.00 90.00 90.00
Positions (direct):
Ti (0.000, 0.000, 0.000)
Ti (0.000, 0.000, 0.500)
Cr (0.000, 0.500, 0.250)
Cr (0.500, 0.000, 0.750)
O (0.262, 0.177, 0.878)
O (0.738, 0.823, 0.878)
O (0.177, 0.262, 0.378)
O (0.262, 0.823, 0.622)
O (0.738, 0.177, 0.622)
O (0.177, 0.738, 0.122)
O (0.823, 0.262, 0.122)
O (0.823, 0.738, 0.378)

Output
* uncorrected energy: -7.922 eV per atom
* density: 2750 kg/m³

[11]
VASP calculation (GGA+U) on an optimized crystal structure of Ti2Cr3O12.

Lattice parameters (Å, degrees): 9.144 9.216 12.695 90.00 90.00 90.00
Positions (direct):
Ti (0.766, 0.466, 0.620)
Ti (0.234, 0.966, 0.620)
Ti (0.734, 0.966, 0.880)
Ti (0.266, 0.466, 0.880)
Ti (0.734, 0.534, 0.120)
Ti (0.266, 0.034, 0.120)
Ti (0.766, 0.034, 0.380)
Ti (0.234, 0.534, 0.380)
Cr (0.968, 0.750, 0.500)
Cr (0.032, 0.250, 0.500)
Cr (0.607, 0.110, 0.643)
Cr (0.393, 0.610, 0.643)
Cr (0.893, 0.610, 0.857)
Cr (0.107, 0.110, 0.857)
Cr (0.532, 0.250, 0.000)
Cr (0.468, 0.750, 0.000)
Cr (0.893, 0.890, 0.143)
Cr (0.107, 0.390, 0.143)
Cr (0.607, 0.390, 0.357)
Cr (0.393, 0.890, 0.357)
O (0.670, 0.073, 0.524)
O (0.330, 0.573, 0.524)
O (0.084, 0.840, 0.591)
O (0.916, 0.340, 0.591)
O (0.854, 0.628, 0.571)
O (0.146, 0.128, 0.571)
O (0.572, 0.580, 0.648)
O (0.428, 0.080, 0.648)
O (0.638, 0.283, 0.671)
O (0.362, 0.783, 0.671)
O (0.691, 0.001, 0.732)
O (0.309, 0.501, 0.732)
O (0.809, 0.501, 0.768)
O (0.191, 0.001, 0.768)
O (0.138, 0.283, 0.829)
O (0.862, 0.783, 0.829)
O (0.928, 0.080, 0.852)
O (0.072, 0.580, 0.852)
O (0.646, 0.128, 0.929)
O (0.354, 0.628, 0.929)
O (0.584, 0.840, 0.909)
O (0.416, 0.340, 0.909)
O (0.170, 0.073, 0.976)
O (0.830, 0.573, 0.976)
O (0.830, 0.927, 0.024)
O (0.170, 0.427, 0.024)
O (0.584, 0.660, 0.091)
O (0.416, 0.160, 0.091)
O (0.646, 0.372, 0.071)
O (0.354, 0.872, 0.071)
O (0.928, 0.420, 0.148)
O (0.072, 0.920, 0.148)
O (0.862, 0.717, 0.171)
O (0.138, 0.217, 0.171)
O (0.809, 0.999, 0.232)
O (0.191, 0.499, 0.232)
O (0.691, 0.499, 0.268)
O (0.309, 0.999, 0.268)
O (0.638, 0.217, 0.329)
O (0.362, 0.717, 0.329)
O (0.572, 0.920, 0.352)
O (0.428, 0.420, 0.352)
O (0.854, 0.872, 0.429)
O (0.146, 0.372, 0.429)
O (0.916, 0.160, 0.409)
O (0.084, 0.660, 0.409)
O (0.670, 0.427, 0.476)
O (0.330, 0.927, 0.476)

Output
* uncorrected energy: -7.573 eV per atom
* density: 2755 kg/m³

[12]
VASP calculation (GGA+U) on an optimized crystal structure of Ti3CrO.

Lattice parameters (Å, degrees): 4.542 4.542 4.542 90.00 90.00 90.00
Positions (direct):
Cr (0.000, 0.000, 0.000)
O (0.500, 0.500, 0.500)
Ti (0.000, 0.500, 0.000)
Ti (0.000, 0.000, 0.500)
Ti (0.500, 0.000, 0.000)

Output
* polymorph energy (0 for the lowest one): 1807.4 meV/atom
* density: 3750 kg/m³

[13]
VASP calculation (GGA+U) on an optimized crystal structure of TiCr3O.

Lattice parameters (Å, degrees): 4.802 4.802 4.802 90.00 90.00 90.00
Positions (direct):
Cr (0.000, 0.500, 0.000)
Cr (0.000, 0.000, 0.500)
Cr (0.500, 0.000, 0.000)
O (0.500, 0.500, 0.500)
Ti (0.000, 0.000, 0.000)

Output
* polymorph energy (0 for the lowest one): 1837.1 meV/atom
* density: 3297 kg/m³

[14]
VASP calculation (GGA+U) on an optimized crystal structure of TiCr2O8.

Lattice parameters (Å, degrees): 7.392 7.932 8.409 73.14 63.93 62.23
Positions (direct):
Ti (0.991, 0.750, 0.250)
Ti (0.009, 0.250, 0.750)
Cr (0.855, 0.869, 0.962)
Cr (0.314, 0.369, 0.462)
Cr (0.686, 0.631, 0.538)
Cr (0.145, 0.131, 0.038)
O (0.428, 0.712, 0.591)
O (0.083, 0.948, 0.195)
O (0.714, 0.942, 0.164)
O (0.221, 0.194, 0.506)
O (0.286, 0.058, 0.836)
O (0.921, 0.306, 0.994)
O (0.779, 0.806, 0.494)
O (0.180, 0.442, 0.664)
O (0.079, 0.694, 0.006)
O (0.731, 0.788, 0.909)
O (0.774, 0.448, 0.695)
O (0.226, 0.552, 0.305)
O (0.269, 0.212, 0.091)
O (0.820, 0.558, 0.336)
O (0.572, 0.288, 0.409)
O (0.917, 0.052, 0.805)

Output
* uncorrected energy: -7.224 eV per atom
* density: 2386 kg/m³

[15]
VASP calculation (GGA+U) on an optimized crystal structure of TiCrO4.

Lattice parameters (Å, degrees): 5.547 5.547 5.547 140.45 140.45 57.17
Positions (direct):
Ti (0.750, 0.250, 0.500)
Cr (0.000, 0.000, 0.000)
O (0.961, 0.461, 0.500)
O (0.797, 0.797, 0.000)
O (0.539, 0.039, 0.500)
O (0.203, 0.203, 0.000)

Output
* uncorrected energy: -8.122 eV per atom
* density: 3965 kg/m³